{
  "formula": "Pm3Pr2Dy7",
  "functional": "PBE",
  "state": "relaxed",
  "lattice_angstrom": [[5.8646, 0.0000, 0.0000], [0.0000, 3.5992, 0.0000], [-1.0685, 0.0000, 18.9467]],
  "species": ["Pm", "Pm", "Pm", "Pr", "Pr", "Dy", "Dy", "Dy", "Dy", "Dy", "Dy", "Dy"],
  "fractional_positions": [[0.0000, 0.0000, 0.0000], [0.2783, 0.5000, 0.6307], [0.7217, 0.5000, 0.3693], [0.2088, 0.0000, 0.2926], [0.7912, 0.0000, 0.7074], [0.1876, 0.5000, 0.1416], [0.2423, 0.0000, 0.4620], [0.3106, 0.0000, 0.8284], [0.5000, 0.5000, 0.0000], [0.6894, 0.0000, 0.1716], [0.7577, 0.0000, 0.5380], [0.8124, 0.5000, 0.8584]],
  "de_polymorph_mev_per_atom": 3,
  "space_group": "P2/m",
  "vol_a3_per_cell": 400,
  "energy_ev_per_atom": -4.58,
  "crystal_system": "monoclinic",
  "formation_energy_mev_per_atom": 86
}


{
  "formula": "Pm2Pr4Dy3",
  "functional": "PBE",
  "state": "relaxed",
  "lattice_angstrom": [[7.7202, -2.5797, 0.0000], [7.7202, 2.5797, 0.0000], [-2.5751, 0.0000, 7.7291]],
  "species": ["Pm", "Pm", "Pr", "Pr", "Pr", "Pr", "Dy", "Dy", "Dy"],
  "fractional_positions": [[0.0542, 0.0542, 0.3343], [0.9458, 0.9458, 0.6657], [0.1658, 0.1658, 0.0002], [0.2781, 0.2781, 0.6653], [0.7219, 0.7219, 0.3347], [0.8342, 0.8342, 0.9998], [0.3904, 0.3904, 0.3324], [0.5000, 0.5000, 0.0000], [0.6096, 0.6096, 0.6676]],
  "de_polymorph_mev_per_atom": 0,
  "space_group": "C2/m",
  "vol_a3_per_cell": 308,
  "energy_ev_per_atom": -4.70,
  "crystal_system": "monoclinic",
  "formation_energy_mev_per_atom": 18
}


{
  "formula": "Pm3PrDy",
  "functional": "PBE",
  "state": "relaxed",
  "lattice_angstrom": [[2.3820, -5.9031, 0.0000], [2.3820, 5.9031, 0.0000], [0.0000, 0.0000, 12.2972]],
  "species": ["Pm", "Pm", "Pm", "Pm", "Pm", "Pm", "Pr", "Pr", "Dy", "Dy"],
  "fractional_positions": [[0.0851, 0.9149, 0.7500], [0.2859, 0.7141, 0.0974], [0.2859, 0.7141, 0.4026], [0.7141, 0.2859, 0.5974], [0.7141, 0.2859, 0.9026], [0.9149, 0.0851, 0.2500], [0.3870, 0.6130, 0.7500], [0.6130, 0.3870, 0.2500], [0.0000, 0.0000, 0.0000], [0.0000, 0.0000, 0.5000]],
  "de_polymorph_mev_per_atom": 136,
  "space_group": "Cmcm",
  "vol_a3_per_cell": 346,
  "energy_ev_per_atom": -4.58,
  "crystal_system": "orthorhombic",
  "formation_energy_mev_per_atom": 151
}


{
  "formula": "PmPr5Dy12",
  "functional": "PBE",
  "state": "relaxed",
  "lattice_angstrom": [[5.7404, -8.6945, 0.0000], [5.7404, 8.6945, 0.0000], [-0.0017, 0.0000, 5.9924]],
  "species": ["Pm", "Pr", "Pr", "Pr", "Pr", "Pr", "Dy", "Dy", "Dy", "Dy", "Dy", "Dy", "Dy", "Dy", "Dy", "Dy", "Dy", "Dy"],
  "fractional_positions": [[0.0000, 0.0000, 0.0000], [0.1658, 0.8342, 0.5000], [0.3343, 0.6657, 0.0000], [0.5000, 0.5000, 0.5000], [0.6657, 0.3343, 0.0000], [0.8342, 0.1658, 0.5000], [0.0112, 0.3443, 0.0523], [0.1548, 0.4882, 0.5524], [0.1783, 0.1783, 0.4436], [0.3196, 0.3196, 0.9439], [0.3443, 0.0112, 0.0523], [0.4882, 0.1548, 0.5524], [0.5118, 0.8452, 0.4476], [0.6557, 0.9888, 0.9477], [0.6804, 0.6804, 0.0561], [0.8217, 0.8217, 0.5564], [0.8452, 0.5118, 0.4476], [0.9888, 0.6557, 0.9477]],
  "space_group": "C2/m",
  "vol_a3_per_cell": 598,
  "energy_ev_per_atom": -4.56,
  "crystal_system": "monoclinic",
  "formation_energy_mev_per_atom": 96
}